Material: CaMg2Pb
Method: DFT, GGA-PBE
State: optimized geometry

Calculated values
Total moment ... 0.0 μB/f.u.
DFT total energy ... -9.30 eV per cell
Distance to the lowest polymorph of the same formula ... 0.56 eV per formula unit
Space-group type ... Fm-3m (225)

```
CaMg2Pb
1.0
0.0000 3.8053 3.8053
3.8053 0.0000 3.8053
3.8053 3.8053 0.0000
Ca Mg Pb
1 2 1
Cartesian
0.0000 0.0000 0.0000
1.9026 1.9026 1.9026
5.7079 5.7079 5.7079
3.8053 3.8053 3.8053
```

Material: BaTlPRh
Method: DFT, GGA-PBE
State: optimized geometry

Calculated values
Total moment ... 0.2 μB/f.u.
DFT total energy ... -39.19 eV per cell
Space-group type ... P4/nmm (129)

```
BaTlPRh
1.0
4.2094 0.0000 0.0000
0.0000 4.2094 0.0000
0.0000 0.0000 12.1369
Ba Tl P Rh
2 2 2 2
Cartesian
1.0524 1.0524 2.7739
3.1571 3.1571 9.3629
1.0524 3.1571 6.0684
3.1571 1.0524 6.0684
1.0524 1.0524 10.9613
3.1571 3.1571 1.1756
1.0524 3.1571 0.0000
3.1571 1.0524 0.0000
```

Material: Mg2SnH2
Method: DFT, GGA-PBE
State: optimized geometry

Calculated values
Total moment ... 0.0 μB/f.u.
DFT total energy ... -25.19 eV per cell
Distance to the lowest polymorph of the same formula ... 2.05 eV per formula unit
Space-group type ... P4/mbm (127)

```
Mg2SnH2
1.0
7.2424 0.0000 0.0000
0.0000 7.2424 0.0000
0.0000 0.0000 2.9442
Mg Sn H
4 2 4
Cartesian
0.9919 2.6293 0.0000
2.6293 6.2505 0.0000
4.6131 0.9919 0.0000
6.2505 4.6131 0.0000
0.0000 0.0000 1.4721
3.6212 3.6212 1.4721
0.7402 4.3615 1.4721
2.8810 0.7402 1.4721
4.3615 6.5022 1.4721
6.5022 2.8810 1.4721
```

Material: Li2Th2Rh3
Method: DFT, GGA-PBE
State: optimized geometry

Calculated values
Total moment ... 0.0 μB/f.u.
DFT total energy ... -44.82 eV per cell
Space-group type ... P-1 (2)

```
Li2Th2Rh3
1.0
4.7877 0.0000 0.0000
2.3938 4.1480 0.0000
2.3857 -1.3520 7.1734
Li Th Rh
2 2 3
Cartesian
2.3888 0.0044 2.9419
7.1785 2.7917 4.2315
4.7802 1.4118 5.8822
4.7871 1.3842 1.2912
2.3992 2.7756 1.6170
2.3938 0.0000 0.0000
7.1680 0.0205 5.5564
```

Material: NpVAs
Method: DFT, GGA-PBE
State: optimized geometry

Calculated values
Total moment ... 2.7 μB/f.u.
DFT total energy ... -27.16 eV per cell
Space-group type ... P-6m2 (187)

```
NpVAs
1.0
4.3179 0.0000 0.0000
-2.1589 3.7394 0.0000
0.0000 0.0000 3.4721
Np V As
1 1 1
Cartesian
0.0000 0.0000 0.0000
2.1589 1.2465 1.7360
0.0000 2.4929 1.7360
```

Material: CrAs2Se
Method: DFT, GGA-PBE
State: optimized geometry

Calculated values
Formation energy without anion corrections ... 0.391 eV per atom
Total moment ... 3.6 μB/f.u.
DFT total energy ... -20.84 eV per cell
Space-group type ... I-4m2 (119)

```
CrAs2Se
1.0
-2.3597 2.3597 3.3297
2.3597 -2.3597 3.3297
2.3597 2.3597 -3.3297
Cr As Se
1 2 1
Cartesian
0.0000 0.0000 0.0000
0.0000 0.0000 3.3297
0.0000 2.3597 1.6648
2.3597 0.0000 1.6648
```

Material: PmCoSe
Method: DFT, GGA-PBE
State: optimized geometry

Calculated values
Formation energy without anion corrections ... -0.334 eV per atom
Total moment ... 1.2 μB/f.u.
DFT total energy ... -32.69 eV per cell
Space-group type ... P-6m2 (187)

```
PmCoSe
1.0
3.7831 0.0000 0.0000
-1.8915 3.2762 0.0000
0.0000 0.0000 10.7060
Pm Co Se
2 2 2
Cartesian
0.0000 0.0000 1.8359
0.0000 0.0000 8.8701
0.0000 0.0000 5.3530
0.0000 2.1842 0.0000
0.0000 2.1842 3.8525
0.0000 2.1842 6.8535
```

Material: PmScRuRh
Method: DFT, GGA-PBE
State: optimized geometry

Calculated values
Total moment ... 0.0 μB/f.u.
DFT total energy ... -29.92 eV per cell
Space-group type ... F-43m (216)

```
PmScRuRh
1.0
0.0000 3.3640 3.3640
3.3640 0.0000 3.3640
3.3640 3.3640 0.0000
Pm Sc Ru Rh
1 1 1 1
Cartesian
0.0000 0.0000 0.0000
3.3640 3.3640 3.3640
1.6820 1.6820 1.6820
5.0460 5.0460 5.0460
```

- Look up the DFT total energy of the fifth one.
  -27.16 eV per cell

Copy entry 4 word for word.
Material: Li2Th2Rh3
Method: DFT, GGA-PBE
State: optimized geometry

Calculated values
Total moment ... 0.0 μB/f.u.
DFT total energy ... -44.82 eV per cell
Space-group type ... P-1 (2)

```
Li2Th2Rh3
1.0
4.7877 0.0000 0.0000
2.3938 4.1480 0.0000
2.3857 -1.3520 7.1734
Li Th Rh
2 2 3
Cartesian
2.3888 0.0044 2.9419
7.1785 2.7917 4.2315
4.7802 1.4118 5.8822
4.7871 1.3842 1.2912
2.3992 2.7756 1.6170
2.3938 0.0000 0.0000
7.1680 0.0205 5.5564
```

- Which of these has the highest total moment?
  CrAs2Se